Computed, not measured: Er4CdGa2 after structural relaxation at the GGA-PBE level of DFT.

abc: 4.9622 4.9622 26.6773
angles: 90.00 90.00 120.00
Space group R-3m (No. 166, hexagonal axes)
One atom of each set of equivalent atoms:
Er 0.0000 0.0000 0.1182 (multiplicity 6)
Er 0.0000 0.0000 0.2937 (multiplicity 6)
Cd 0.0000 0.0000 0.5000 (multiplicity 3)
Ga 0.0000 0.0000 0.4015 (multiplicity 6)

E_form: -0.220 eV/atom
mass density: 8.1 g/cm3
energy above the most stable polymorph in this dataset: 0.1497 eV/atom

Computed, not measured: ErCdGa after structural relaxation at the GGA-PBE level of DFT.

abc: 4.6445 4.6445 3.5435
angles: 90.00 90.00 120.00
Space group P-6m2 (No. 187)
One atom of each set of equivalent atoms:
Er 0.0000 0.0000 0.0000 (multiplicity 1)
Cd 0.3333 0.6667 0.5000 (multiplicity 1)
Ga 0.6667 0.3333 0.5000 (multiplicity 1)

E_form: -0.432 eV/atom
mass density: 8.8 g/cm3
energy above the most stable polymorph in this dataset: 0.0677 eV/atom

Computed, not measured: Er2CdGa after structural relaxation at the GGA-PBE level of DFT.

abc: 3.598 3.598 7.359
angles: 90.00 90.00 90.00
Space group P4/mmm (No. 123)
One atom of each set of equivalent atoms:
Er 0.000 0.000 0.235 (multiplicity 2)
Cd 0.500 0.500 0.500 (multiplicity 1)
Ga 0.500 0.500 0.000 (multiplicity 1)

E_form: -0.454 eV/atom
mass density: 9.0 g/cm3

Computed, not measured: Er6Cd5Ga after structural relaxation at the GGA-PBE level of DFT.

abc: 5.198 15.641 7.370
angles: 90.00 90.00 90.00
Space group Cmmm (No. 65)
One atom of each set of equivalent atoms:
Er 0.000 0.000 0.240 (multiplicity 4)
Er 0.000 0.338 0.246 (multiplicity 8)
Cd 0.000 0.168 0.500 (multiplicity 4)
Cd 0.000 0.173 0.000 (multiplicity 4)
Cd 0.000 0.500 0.500 (multiplicity 2)
Ga 0.000 0.500 0.000 (multiplicity 2)

E_form: -0.359 eV/atom
mass density: 9.1 g/cm3

Computed, not measured: GdErCdGa after structural relaxation at the GGA-PBE level of DFT.

abc: 7.330 7.330 7.330
angles: 90.00 90.00 90.00
Space group F-43m (No. 216)
One atom of each set of equivalent atoms:
Gd 0.000 0.000 0.000 (multiplicity 4)
Er 0.000 0.000 0.500 (multiplicity 4)
Cd 0.250 0.250 0.250 (multiplicity 4)
Ga 0.250 0.250 0.750 (multiplicity 4)

E_form: -0.444 eV/atom
mass density: 8.5 g/cm3

Computed, not measured: ErHfCdGa after structural relaxation at the GGA-PBE level of DFT.

abc: 7.010 7.010 7.010
angles: 90.00 90.00 90.00
Space group F-43m (No. 216)
One atom of each set of equivalent atoms:
Er 0.000 0.000 0.000 (multiplicity 4)
Hf 0.000 0.000 0.500 (multiplicity 4)
Cd 0.250 0.250 0.250 (multiplicity 4)
Ga 0.250 0.250 0.750 (multiplicity 4)

E_form: -0.227 eV/atom
mass density: 10.2 g/cm3

Computed, not measured: ErCdGaHg after structural relaxation at the GGA-PBE level of DFT.

abc: 7.079 7.079 7.079
angles: 90.00 90.00 90.00
Space group F-43m (No. 216)
One atom of each set of equivalent atoms:
Er 0.000 0.000 0.000 (multiplicity 4)
Cd 0.000 0.000 0.500 (multiplicity 4)
Ga 0.250 0.250 0.250 (multiplicity 4)
Hg 0.250 0.250 0.750 (multiplicity 4)

E_form: -0.333 eV/atom
mass density: 10.3 g/cm3

Computed, not measured: Er4Cd2GaHg after structural relaxation at the GGA-PBE level of DFT.

abc: 5.1787 5.1787 25.3635
angles: 90.00 90.00 120.00
Space group R-3m (No. 166, hexagonal axes)
One atom of each set of equivalent atoms:
Er 0.0000 0.0000 0.1226 (multiplicity 6)
Er 0.0000 0.0000 0.3727 (multiplicity 6)
Cd 0.0000 0.0000 0.2491 (multiplicity 6)
Ga 0.0000 0.0000 0.0000 (multiplicity 3)
Hg 0.0000 0.0000 0.5000 (multiplicity 3)

E_form: -0.414 eV/atom
mass density: 9.8 g/cm3

Copy entry 5 word for word.
Computed, not measured: GdErCdGa after structural relaxation at the GGA-PBE level of DFT.

abc: 7.330 7.330 7.330
angles: 90.00 90.00 90.00
Space group F-43m (No. 216)
One atom of each set of equivalent atoms:
Gd 0.000 0.000 0.000 (multiplicity 4)
Er 0.000 0.000 0.500 (multiplicity 4)
Cd 0.250 0.250 0.250 (multiplicity 4)
Ga 0.250 0.250 0.750 (multiplicity 4)

E_form: -0.444 eV/atom
mass density: 8.5 g/cm3

Copy entry 3 word for word.
Computed, not measured: Er2CdGa after structural relaxation at the GGA-PBE level of DFT.

abc: 3.598 3.598 7.359
angles: 90.00 90.00 90.00
Space group P4/mmm (No. 123)
One atom of each set of equivalent atoms:
Er 0.000 0.000 0.235 (multiplicity 2)
Cd 0.500 0.500 0.500 (multiplicity 1)
Ga 0.500 0.500 0.000 (multiplicity 1)

E_form: -0.454 eV/atom
mass density: 9.0 g/cm3

- The highest E_form belongs to which entry?
  Er4CdGa2